Density functional theory data (GGA-PBE) for a relaxed Th2NpAg crystal.

SG	P4/mmm, No. 123
ρ	12318	kg/m³
offset from the most stable computed form	83	meV per atom
energy of formation	233.6	meV per atom
total magnetization	4.35	μB/f.u.

Cell lengths 3.529, 3.529, 8.755 Å; angles 90.00, 90.00, 90.00 degrees
Fractional positions:
Th1 0.000 0.000 0.244
Th2 0.000 0.000 0.756
Np1 0.500 0.500 0.500
Ag1 0.500 0.500 0.000

Density functional theory data (GGA-PBE) for a relaxed NpTi2Ag crystal.

SG	P4/mmm, No. 123
ρ	10192	kg/m³
energy of formation	255.3	meV per atom
total magnetization	3.05	μB/f.u.

Cell lengths 3.283, 3.283, 6.660 Å; angles 90.00, 90.00, 90.00 degrees
Fractional positions:
Np1 0.000 0.000 0.000
Ti1 0.500 0.500 0.238
Ti2 0.500 0.500 0.762
Ag1 0.000 0.000 0.500

Density functional theory data (GGA-PBE) for a relaxed NpZn2Ag crystal.

SG	P4/mmm, No. 123
ρ	11072	kg/m³
energy of formation	66.4	meV per atom
total magnetization	3.90	μB/f.u.

Cell lengths 2.884, 2.884, 8.575 Å; angles 90.00, 90.00, 90.00 degrees
Fractional positions:
Np1 0.000 0.000 0.000
Zn1 0.500 0.500 0.276
Zn2 0.500 0.500 0.724
Ag1 0.000 0.000 0.500

Density functional theory data (GGA-PBE) for a relaxed NpZnAg crystal.

SG	Cm, No. 8
ρ	12383	kg/m³
energy of formation	140.0	meV per atom
total magnetization	0.00	μB/f.u.

Cell lengths 2.978, 2.978, 13.477 Å; angles 90.42, 90.42, 67.06 degrees
Fractional positions:
Np1 0.000 0.000 0.000
Np2 0.510 0.510 0.136
Zn1 0.581 0.581 0.811
Zn2 0.935 0.935 0.326
Ag1 0.567 0.567 0.482
Ag2 0.950 0.950 0.655

Density functional theory data (GGA-PBE) for a relaxed NpZnAg crystal.

SG	I4mm, No. 107
ρ	12035	kg/m³
energy of formation	160.7	meV per atom
total magnetization	4.02	μB/f.u.

Cell lengths 7.080, 7.080, 7.080 Å; angles 156.45, 156.45, 33.55 degrees
Fractional positions:
Np1 0.000 0.000 0.000
Zn1 0.327 0.327 0.000
Ag1 0.689 0.689 0.000

Density functional theory data (GGA-PBE) for a relaxed NpZn17Ag crystal.

SG	R3m, No. 160
ρ	7844	kg/m³
energy of formation	-4.9	meV per atom
total magnetization	4.41	μB/f.u.

Cell lengths 6.817, 6.817, 6.817 Å; angles 82.03, 82.03, 82.03 degrees
Fractional positions:
Np1 0.000 0.000 0.000
Zn1 0.022 0.343 0.638
Zn2 0.022 0.638 0.343
Zn3 0.184 0.686 0.686
Zn4 0.238 0.238 0.238
Zn5 0.326 0.326 0.837
Zn6 0.326 0.837 0.326
Zn7 0.343 0.022 0.638
Zn8 0.343 0.638 0.022
Zn9 0.438 0.438 0.438
Zn10 0.495 0.990 0.990
Zn11 0.638 0.022 0.343
Zn12 0.638 0.343 0.022
Zn13 0.686 0.184 0.686
Zn14 0.686 0.686 0.184
Zn15 0.837 0.326 0.326
Zn16 0.990 0.495 0.990
Zn17 0.990 0.990 0.495
Ag1 0.749 0.749 0.749

Density functional theory data (GGA-PBE) for a relaxed Np2Zn15Ag2 crystal.

SG	R-3m, No. 166
ρ	8828	kg/m³
energy of formation	-44.6	meV per atom
total magnetization	8.49	μB/f.u.

Cell lengths 6.848, 6.848, 6.848 Å; angles 82.91, 82.91, 82.91 degrees
Fractional positions:
Np1 0.155 0.155 0.155
Np2 0.845 0.845 0.845
Zn1 0.000 0.500 0.500
Zn2 0.147 0.147 0.660
Zn3 0.147 0.660 0.147
Zn4 0.203 0.500 0.797
Zn5 0.203 0.797 0.500
Zn6 0.340 0.853 0.853
Zn7 0.500 0.000 0.500
Zn8 0.500 0.203 0.797
Zn9 0.500 0.500 0.000
Zn10 0.500 0.797 0.203
Zn11 0.660 0.147 0.147
Zn12 0.797 0.203 0.500
Zn13 0.797 0.500 0.203
Zn14 0.853 0.340 0.853
Zn15 0.853 0.853 0.340
Ag1 0.392 0.392 0.392
Ag2 0.608 0.608 0.608

Density functional theory data (GGA-PBE) for a relaxed NpZnAg crystal.

SG	P3m1, No. 156
ρ	12315	kg/m³
energy of formation	137.3	meV per atom
total magnetization	3.27	μB/f.u.

Cell lengths 2.862, 2.862, 7.801 Å; angles 90.00, 90.00, 120.00 degrees
Fractional positions:
Np1 0.000 0.000 0.000
Zn1 0.333 0.667 0.662
Ag1 0.667 0.333 0.366

Among the records above, which one has the lowest energy of formation?
Np2Zn15Ag2